(1)
Entry from Alexandria: crystalline CoTcTe2 at its relaxed geometry (GGA-PBE).

Computed properties:
Magnetization = 1.21 μB/cell
Space-group type = I-42d, No. 122
D(E_F) = 1.0261 states/eV per atom
Uncorrected energy = -5.578 eV per atom

Cell lengths 5.840, 5.840, 7.098 Å; angles 65.71, 65.71, 90.00 degrees
Atoms (fractional coordinates):
1 Te 0.142 0.625 0.250
2 Te 0.875 0.858 0.750
3 Te 0.375 0.392 0.750
4 Tc 0.750 0.250 0.500
5 Co 0.250 0.750 0.500
6 Tc 0.000 0.000 0.000
7 Te 0.608 0.125 0.250
8 Co 0.500 0.500 0.000

---

(2)
Entry from Alexandria: crystalline Th6Co2TcTe3 at its relaxed geometry (GGA-PBE).

Computed properties:
Magnetization = 0.00 μB/cell
Space-group type = C2/m, No. 12
D(E_F) = 0.4743 states/eV per atom
Uncorrected energy = -7.256 eV per atom

Cell lengths 4.131, 9.030, 9.912 Å; angles 110.26, 102.03, 90.00 degrees
Atoms (fractional coordinates):
1 Th 0.680 0.552 0.360
2 Co 0.830 0.663 0.661
3 Th 0.987 0.776 0.974
4 Th 0.344 0.886 0.688
5 Tc 0.500 0.000 0.000
6 Co 0.170 0.337 0.339
7 Te 0.834 0.169 0.669
8 Th 0.320 0.448 0.640
9 Te 0.500 0.500 0.000
10 Th 0.656 0.114 0.312
11 Te 0.166 0.831 0.331
12 Th 0.013 0.224 0.026

---

(3)
Entry from Alexandria: crystalline Th2CoTc at its relaxed geometry (GGA-PBE).

Computed properties:
Magnetization = 0.00 μB/cell
Space-group type = P2_1/m, No. 11
D(E_F) = 0.5461 states/eV per atom
DFT formation energy = -229 meV per atom

Cell lengths 3.954, 6.033, 7.659 Å; angles 108.23, 90.00, 90.00 degrees
Atoms (fractional coordinates):
1 Th 0.250 0.772 0.071
2 Th 0.250 0.774 0.567
3 Co 0.250 0.318 0.702
4 Th 0.750 0.226 0.433
5 Tc 0.750 0.664 0.789
6 Th 0.750 0.228 0.929
7 Co 0.750 0.682 0.298
8 Tc 0.250 0.336 0.211

---

(4)
Entry from Alexandria: crystalline Th2CoTc at its relaxed geometry (GGA-PBE).

Computed properties:
Magnetization = 0.08 μB/cell
Space-group type = P4/mmm, No. 123
D(E_F) = 0.6549 states/eV per atom
DFT formation energy = -87 meV per atom

Cell lengths 3.528, 3.528, 6.967 Å; angles 90.00, 90.00, 90.00 degrees
Atoms (fractional coordinates):
1 Th 0.000 0.000 0.243
2 Th 0.000 0.000 0.757
3 Tc 0.500 0.500 0.500
4 Co 0.500 0.500 0.000

---

(5)
Entry from Alexandria: crystalline ThCo4Tc at its relaxed geometry (GGA-PBE).

Computed properties:
Magnetization = 6.75 μB/cell
Space-group type = F-43m, No. 216
D(E_F) = 1.1898 states/eV per atom
DFT formation energy = 52 meV per atom

Cell lengths 4.971, 4.971, 4.971 Å; angles 60.00, 60.00, 60.00 degrees
Atoms (fractional coordinates):
1 Tc 0.250 0.250 0.250
2 Co 0.624 0.624 0.127
3 Co 0.624 0.127 0.624
4 Th 0.000 0.000 0.000
5 Co 0.127 0.624 0.624
6 Co 0.624 0.624 0.624

---

(6)
Entry from Alexandria: crystalline Th4CoTc at its relaxed geometry (GGA-PBE).

Computed properties:
Magnetization = 0.00 μB/cell
Space-group type = P2_1/m, No. 11
D(E_F) = 1.1174 states/eV per atom
DFT formation energy = -66 meV per atom

Cell lengths 5.934, 6.562, 8.017 Å; angles 90.00, 80.17, 90.00 degrees
Atoms (fractional coordinates):
1 Th 0.697 0.750 0.798
2 Th 0.848 0.250 0.970
3 Tc 0.756 0.250 0.648
4 Th 0.766 0.990 0.370
5 Th 0.234 0.490 0.630
6 Th 0.303 0.250 0.202
7 Th 0.152 0.750 0.030
8 Co 0.648 0.750 0.117
9 Tc 0.244 0.750 0.352
10 Co 0.352 0.250 0.883
11 Th 0.234 0.010 0.630
12 Th 0.766 0.510 0.370

---

(7)
Entry from Alexandria: crystalline Th2CoTc at its relaxed geometry (GGA-PBE).

Computed properties:
Magnetization = 0.00 μB/cell
Space-group type = R-3m, No. 166
D(E_F) = 0.8300 states/eV per atom
DFT formation energy = 480 meV per atom

Cell lengths 3.635, 3.635, 8.853 Å; angles 78.15, 78.15, 60.00 degrees
Atoms (fractional coordinates):
1 Th 0.099 0.099 0.702
2 Tc 0.000 0.000 0.000
3 Th 0.901 0.901 0.298
4 Co 0.500 0.500 0.500

---

(8)
Entry from Alexandria: crystalline ThCoTc at its relaxed geometry (GGA-PBE).

Computed properties:
Magnetization = 1.06 μB/cell
Space-group type = P-6m2, No. 187
D(E_F) = 1.3873 states/eV per atom
DFT formation energy = -45 meV per atom

Cell lengths 4.137, 4.109, 4.109 Å; angles 120.00, 90.00, 90.00 degrees
Atoms (fractional coordinates):
1 Tc 0.167 0.333 0.667
2 Th 0.667 0.667 0.333
3 Co 0.167 0.000 0.000

---

(9)
Entry from Alexandria: crystalline ThCoTc at its relaxed geometry (GGA-PBE).

Computed properties:
Magnetization = 0.00 μB/cell
Space-group type = Cmcm, No. 63
D(E_F) = 1.0909 states/eV per atom
DFT formation energy = 153 meV per atom

Cell lengths 3.624, 3.495, 9.518 Å; angles 79.42, 90.00, 90.00 degrees
Atoms (fractional coordinates):
1 Co 0.750 0.462 0.076
2 Th 0.750 0.104 0.793
3 Th 0.250 0.896 0.207
4 Tc 0.250 0.247 0.507
5 Tc 0.750 0.753 0.493
6 Co 0.250 0.538 0.924

---

(10)
Entry from Alexandria: crystalline ThUCoTc at its relaxed geometry (GGA-PBE).

Computed properties:
Magnetization = 0.00 μB/cell
Space-group type = R3m, No. 160
D(E_F) = 0.8019 states/eV per atom
DFT formation energy = -208 meV per atom

Cell lengths 4.280, 4.280, 5.833 Å; angles 111.50, 90.00, 120.00 degrees
Atoms (fractional coordinates):
1 Co 0.412 0.824 0.878
2 U 0.109 0.219 0.970
3 Tc 0.830 0.659 0.131
4 Th 0.615 0.231 0.489

---

(11)
Entry from Alexandria: crystalline YThCoTc at its relaxed geometry (GGA-PBE).

Computed properties:
Magnetization = 0.47 μB/cell
Space-group type = F-43m, No. 216
D(E_F) = 0.8983 states/eV per atom
DFT formation energy = -74 meV per atom

Cell lengths 4.889, 4.889, 4.889 Å; angles 60.00, 60.00, 60.00 degrees
Atoms (fractional coordinates):
1 Th 0.250 0.250 0.250
2 Y 0.750 0.750 0.750
3 Co 0.000 0.000 0.000
4 Tc 0.500 0.500 0.500

---

(12)
Entry from Alexandria: crystalline Ti3Co2Tc2 at its relaxed geometry (GGA-PBE).

Computed properties:
Magnetization = 2.12 μB/cell
Space-group type = C2/m, No. 12
D(E_F) = 0.8318 states/eV per atom
DFT formation energy = -341 meV per atom

Cell lengths 4.254, 4.249, 7.928 Å; angles 89.99, 122.45, 119.95 degrees
Atoms (fractional coordinates):
1 Ti 0.000 0.000 0.000
2 Tc 0.869 0.434 0.152
3 Co 0.421 0.711 0.566
4 Co 0.579 0.289 0.434
5 Tc 0.131 0.566 0.848
6 Ti 0.286 0.143 0.714
7 Ti 0.714 0.857 0.286

---

(13)
Entry from Alexandria: crystalline Ti3CoTc at its relaxed geometry (GGA-PBE).

Computed properties:
Magnetization = 1.26 μB/cell
Space-group type = Pm-3m, No. 221
D(E_F) = 1.8782 states/eV per atom
DFT formation energy = 868 meV per atom

Cell lengths 4.649, 4.649, 4.649 Å; angles 90.00, 90.00, 90.00 degrees
Atoms (fractional coordinates):
1 Ti 0.000 0.000 0.500
2 Ti 0.500 0.000 0.000
3 Co 0.500 0.500 0.500
4 Ti 0.000 0.500 0.000
5 Tc 0.000 0.000 0.000

---

(14)
Entry from Alexandria: crystalline Ti2CoTc2 at its relaxed geometry (GGA-PBE).

Computed properties:
Magnetization = 2.93 μB/cell
Space-group type = P4/mbm, No. 127
D(E_F) = 1.2170 states/eV per atom
DFT formation energy = 46 meV per atom

Cell lengths 6.308, 6.308, 3.894 Å; angles 90.00, 90.00, 90.00 degrees
Atoms (fractional coordinates):
1 Ti 0.176 0.676 0.500
2 Ti 0.324 0.176 0.500
3 Ti 0.676 0.824 0.500
4 Co 0.000 0.000 0.000
5 Tc 0.358 0.858 0.000
6 Tc 0.642 0.142 0.000
7 Tc 0.858 0.642 0.000
8 Co 0.500 0.500 0.000
9 Tc 0.142 0.358 0.000
10 Ti 0.824 0.324 0.500

---

(15)
Entry from Alexandria: crystalline Ti3CoTc2 at its relaxed geometry (GGA-PBE).

Computed properties:
Magnetization = 0.29 μB/cell
Space-group type = P4/mmm, No. 123
D(E_F) = 0.7913 states/eV per atom
DFT formation energy = -490 meV per atom

Cell lengths 3.080, 3.080, 9.123 Å; angles 90.00, 90.00, 90.00 degrees
Atoms (fractional coordinates):
1 Co 0.500 0.500 0.500
2 Ti 0.000 0.000 0.336
3 Ti 0.000 0.000 0.000
4 Ti 0.000 0.000 0.664
5 Tc 0.500 0.500 0.827
6 Tc 0.500 0.500 0.173

---

(16)
Entry from Alexandria: crystalline TiCo4Tc at its relaxed geometry (GGA-PBE).

Computed properties:
Magnetization = 6.73 μB/cell
Space-group type = F-43m, No. 216
D(E_F) = 1.1347 states/eV per atom
DFT formation energy = -108 meV per atom

Cell lengths 4.714, 4.714, 4.714 Å; angles 60.00, 60.00, 60.00 degrees
Atoms (fractional coordinates):
1 Ti 0.250 0.250 0.250
2 Co 0.625 0.625 0.625
3 Co 0.126 0.625 0.625
4 Co 0.625 0.126 0.625
5 Co 0.625 0.625 0.126
6 Tc 0.000 0.000 0.000

---

(17)
Entry from Alexandria: crystalline TiCoTc3 at its relaxed geometry (GGA-PBE).

Computed properties:
Magnetization = 0.59 μB/cell
Space-group type = Pm-3m, No. 221
D(E_F) = 1.8447 states/eV per atom
DFT formation energy = 1066 meV per atom

Cell lengths 4.386, 4.386, 4.386 Å; angles 90.00, 90.00, 90.00 degrees
Atoms (fractional coordinates):
1 Tc 0.000 0.500 0.000
2 Co 0.000 0.000 0.000
3 Tc 0.000 0.000 0.500
4 Ti 0.500 0.500 0.500
5 Tc 0.500 0.000 0.000

---

(18)
Entry from Alexandria: crystalline Ti4Co2Tc at its relaxed geometry (GGA-PBE).

Computed properties:
Magnetization = 0.00 μB/cell
Space-group type = I4/mmm, No. 139
D(E_F) = 1.0001 states/eV per atom
DFT formation energy = -236 meV per atom

Cell lengths 5.173, 5.173, 5.173 Å; angles 109.93, 109.24, 109.24 degrees
Atoms (fractional coordinates):
1 Co 0.500 0.500 0.000
2 Ti 0.500 0.500 0.500
3 Tc 0.000 0.000 0.000
4 Ti 0.500 0.000 0.000
5 Ti 0.000 0.000 0.500
6 Ti 0.000 0.500 0.000
7 Co 0.500 0.000 0.500

---

(19)
Entry from Alexandria: crystalline Ti6Co5Tc at its relaxed geometry (GGA-PBE).

Computed properties:
Magnetization = 2.48 μB/cell
Space-group type = Immm, No. 71
D(E_F) = 0.8671 states/eV per atom
DFT formation energy = -425 meV per atom

Cell lengths 4.243, 6.004, 7.332 Å; angles 114.17, 106.82, 90.00 degrees
Atoms (fractional coordinates):
1 Ti 0.168 0.916 0.337
2 Ti 0.500 0.254 0.000
3 Ti 0.500 0.746 0.000
4 Co 0.669 0.669 0.337
5 Tc 0.000 0.000 0.000
6 Ti 0.832 0.580 0.663
7 Co 0.667 0.167 0.335
8 Ti 0.168 0.420 0.337
9 Co 0.333 0.833 0.665
10 Ti 0.832 0.084 0.663
11 Co 0.331 0.331 0.663
12 Co 0.000 0.500 0.000

---

(20)
Entry from Alexandria: crystalline Ti4CoTc2 at its relaxed geometry (GGA-PBE).

Computed properties:
Magnetization = 0.00 μB/cell
Space-group type = I4/mmm, No. 139
D(E_F) = 1.0223 states/eV per atom
DFT formation energy = 353 meV per atom

Cell lengths 4.410, 4.410, 6.956 Å; angles 71.52, 71.52, 90.00 degrees
Atoms (fractional coordinates):
1 Ti 0.191 0.191 0.618
2 Ti 0.000 0.500 0.000
3 Tc 0.623 0.623 0.754
4 Tc 0.377 0.377 0.246
5 Ti 0.809 0.809 0.382
6 Ti 0.500 0.000 0.000
7 Co 0.000 0.000 0.000